A relaxed structure of YAl3CuAu. Source: the Alexandria database, functional PBE.

* DFT total energy: -4.490 eV/atom
* formation energy: -0.31 eV/atom
* SG: Cmcm, No. 63
* total moment: 0.000 μB per atom

Cell and atoms, written as extended XYZ:
```
12
Lattice="3.0910 -6.1806 0.0000 3.0910 6.1806 0.0000 0.0000 0.0000 5.8645" Properties=species:S:1:pos:R:3 pbc="T T T"
Y 3.0910 3.5718 4.3984
Y 3.0910 -3.5718 1.4661
Al 1.3157 0.0000 0.0000
Al 1.3157 0.0000 2.9323
Al 3.0910 1.6965 1.4661
Al 3.0910 -1.6965 4.3984
Al 4.8663 0.0000 0.0000
Al 4.8663 0.0000 2.9323
Cu 3.0910 0.8758 4.3984
Cu 3.0910 -0.8758 1.4661
Au 3.0910 4.2809 1.4661
Au 3.0910 -4.2809 4.3984
```


A relaxed structure of Cu3WCl9. Source: the Alexandria database, functional PBE.

* DFT total energy: -3.879 eV/atom
* raw formation energy: -0.6585 eV/atom
* SG: Cc, No. 9
* total moment: 0.009 μB per atom

Cell and atoms, written as extended XYZ:
```
26
Lattice="8.5527 -4.2699 0.0000 8.5527 4.2699 0.0000 -6.3009 0.0000 10.6109" Properties=species:S:1:pos:R:3 pbc="T T T"
Cu 5.4022 3.1828 5.3054
Cu 4.0739 1.1211 7.2979
Cu 7.2243 -1.1211 1.9925
Cu 12.8375 1.0995 2.6938
Cu 8.5527 -3.1828 0.0000
Cu 9.6870 -1.0995 7.9992
W 9.0428 2.6165 3.2469
W 5.8923 -2.6165 8.5524
Cl -4.1504 0.2566 9.7438
Cl 7.9668 3.3744 1.2729
Cl -0.9999 -0.2566 4.4384
Cl 1.9064 1.3034 7.2438
Cl 1.9773 0.0741 3.3266
Cl -1.1732 -0.0741 8.6320
Cl 6.0753 1.6803 6.7592
Cl 7.3689 0.9154 3.2779
Cl 10.4727 1.4129 1.8891
Cl 5.0568 -1.3034 1.9384
Cl 9.8690 1.6457 5.1443
Cl 4.2185 -0.9154 8.5833
Cl 9.4248 0.8424 8.8878
Cl 9.2257 -1.6803 1.4537
Cl 7.3223 -1.4129 7.1946
Cl 4.8163 -3.3744 6.5784
Cl 6.7186 -1.6457 10.4497
Cl 12.5752 -0.8424 3.5824
```


A relaxed structure of Sn2Pd5Au. Source: the Alexandria database, functional PBE.

* DFT total energy: -5.102 eV/atom
* formation energy: -0.45 eV/atom
* SG: Pbam, No. 55
* total moment: 0.000 μB per atom

Cell and atoms, written as extended XYZ:
```
16
Lattice="5.7686 0.0000 0.0000 0.0000 11.4764 0.0000 0.0000 0.0000 4.0801" Properties=species:S:1:pos:R:3 pbc="T T T"
Sn 1.2929 1.5163 0.0000
Sn 1.5915 7.2544 0.0000
Sn 4.1772 4.2219 0.0000
Sn 4.4758 9.9601 0.0000
Pd 0.0000 0.0000 2.0400
Pd 0.1187 8.5812 2.0400
Pd 1.3709 4.3397 0.0000
Pd 1.5134 10.0778 0.0000
Pd 2.7656 2.8430 2.0400
Pd 2.8843 5.7382 2.0400
Pd 3.0030 8.6333 2.0400
Pd 4.2552 1.3985 0.0000
Pd 4.3977 7.1367 0.0000
Pd 5.6499 2.8951 2.0400
Au 0.0000 5.7382 2.0400
Au 2.8843 0.0000 2.0400
```


A relaxed structure of MgNpBe2O6. Source: the Alexandria database, functional PBE.

* DFT total energy: -7.829 eV/atom
* raw formation energy: -2.6551 eV/atom
* SG: C2/c, No. 15
* total moment: 0.100 μB per atom

Cell and atoms, written as extended XYZ:
```
20
Lattice="5.1322 -4.4472 0.0000 5.1322 4.4472 0.0000 -2.2248 0.0000 4.9042" Properties=species:S:1:pos:R:3 pbc="T T T"
Mg 3.4636 3.6481 3.6782
Mg 4.5760 -3.6481 1.2261
Np 4.5760 1.9648 1.2261
Np 3.4636 -1.9648 3.6782
Be 1.1402 0.6306 4.0411
Be 2.2526 -0.6306 1.5890
Be 5.7871 0.6306 3.3153
Be 6.8995 -0.6306 0.8632
O -0.2955 0.8289 3.3128
O 2.1285 2.0453 4.1742
O 0.8169 -0.8289 0.8607
O 3.1636 0.4442 0.7961
O 4.7987 2.0453 3.1821
O 2.0512 -0.4442 3.2482
O 5.9884 0.4442 1.6560
O 3.2409 -2.0453 1.7221
O 4.8761 -0.4442 4.1081
O 7.2227 0.8289 4.0435
O 5.9111 -2.0453 0.7300
O 8.3351 -0.8289 1.5914
```


A relaxed structure of NdYLuPu. Source: the Alexandria database, functional PBE.

* DFT total energy: -7.319 eV/atom
* formation energy: 0.20 eV/atom
* SG: F-43m, No. 216
* total moment: 1.540 μB per atom

Cell and atoms, written as extended XYZ:
```
4
Lattice="0.0000 3.9735 3.9735 3.9735 0.0000 3.9735 3.9735 3.9735 0.0000" Properties=species:S:1:pos:R:3 pbc="T T T"
Nd 0.0000 0.0000 0.0000
Y 1.9867 1.9867 1.9867
Lu 5.9602 5.9602 5.9602
Pu 3.9735 3.9735 3.9735
```


A relaxed structure of MnCo3. Source: the Alexandria database, functional PBE.

* DFT total energy: -7.476 eV/atom
* formation energy: 0.15 eV/atom
* SG: Pm-3n, No. 223
* total moment: 2.070 μB per atom

Cell and atoms, written as extended XYZ:
```
8
Lattice="4.5467 0.0000 0.0000 0.0000 4.5467 0.0000 0.0000 0.0000 4.5467" Properties=species:S:1:pos:R:3 pbc="T T T"
Mn 0.0000 0.0000 0.0000
Mn 2.2733 2.2733 2.2733
Co 0.0000 1.1367 2.2733
Co 0.0000 3.4100 2.2733
Co 1.1367 2.2733 0.0000
Co 2.2733 0.0000 1.1367
Co 2.2733 0.0000 3.4100
Co 3.4100 2.2733 0.0000
```


A relaxed structure of NaCd2Pb. Source: the Alexandria database, functional PBE.

* DFT total energy: -1.748 eV/atom
* formation energy: -0.03 eV/atom
* SG: P4/mmm, No. 123
* total moment: 0.000 μB per atom

Cell and atoms, written as extended XYZ:
```
4
Lattice="4.0356 0.0000 0.0000 0.0000 4.0356 0.0000 0.0000 0.0000 6.4816" Properties=species:S:1:pos:R:3 pbc="T T T"
Na 0.0000 0.0000 0.0000
Cd 2.0178 2.0178 1.5592
Cd 2.0178 2.0178 4.9223
Pb 0.0000 0.0000 3.2408
```


A relaxed structure of LiLuGaIr. Source: the Alexandria database, functional PBE.

* DFT total energy: -5.190 eV/atom
* formation energy: -0.61 eV/atom
* SG: F-43m, No. 216
* total moment: 0.000 μB per atom

Cell and atoms, written as extended XYZ:
```
4
Lattice="0.0000 3.2252 3.2252 3.2252 0.0000 3.2252 3.2252 3.2252 0.0000" Properties=species:S:1:pos:R:3 pbc="T T T"
Li 0.0000 0.0000 0.0000
Lu 1.6126 1.6126 1.6126
Ga 4.8378 4.8378 4.8378
Ir 3.2252 3.2252 3.2252
```


A relaxed structure of SbTe2N. Source: the Alexandria database, functional PBE.

* DFT total energy: -3.882 eV/atom
* raw formation energy: 0.8006 eV/atom
* SG: R-3m, No. 166
* total moment: 0.000 μB per atom

Cell and atoms, written as extended XYZ:
```
4
Lattice="1.7029 0.9831 9.9359 -1.7029 0.9831 9.9359 0.0000 -1.9663 9.9359" Properties=species:S:1:pos:R:3 pbc="T T T"
Sb 0.0000 0.0000 0.0000
Te 0.0000 0.0000 12.9747
Te 0.0000 0.0000 16.8331
N 0.0000 0.0000 14.9039
```


A relaxed structure of TcSnSbBrF. Source: the Alexandria database, functional PBE.

* DFT total energy: -4.864 eV/atom
* raw formation energy: -0.4574 eV/atom
* SG: P1, No. 1
* total moment: 0.000 μB per atom

Cell and atoms, written as extended XYZ:
```
5
Lattice="3.1775 0.0000 0.0000 -1.1266 5.5995 0.0000 -1.4352 -1.4404 7.8279" Properties=species:S:1:pos:R:3 pbc="T T T"
Tc 0.0000 0.0000 0.0000
Sn 0.9439 4.5142 2.3089
Sb 1.6041 1.9460 0.7893
Br -0.9444 4.3063 5.8374
F 0.5372 2.0121 7.1583
```


A relaxed structure of TbPmSm2Te5. Source: the Alexandria database, functional PBE.

* DFT total energy: -4.601 eV/atom
* raw formation energy: -0.7641 eV/atom
* SG: P4/mmm, No. 123
* total moment: 0.070 μB per atom

Cell and atoms, written as extended XYZ:
```
9
Lattice="5.5548 0.0000 0.0000 0.0000 5.5548 0.0000 0.0000 0.0000 11.7763" Properties=species:S:1:pos:R:3 pbc="T T T"
Tb 0.0000 0.0000 0.0000
Pm 0.0000 0.0000 5.8881
Sm 2.7774 2.7774 1.7968
Sm 2.7774 2.7774 9.9794
Te 0.0000 0.0000 2.9605
Te 0.0000 0.0000 8.8157
Te 0.0000 2.7774 0.0000
Te 2.7774 0.0000 0.0000
Te 2.7774 2.7774 5.8881
```


A relaxed structure of ZrInAs2. Source: the Alexandria database, functional PBE.

* DFT total energy: -5.577 eV/atom
* formation energy: -0.43 eV/atom
* SG: Imm2, No. 44
* total moment: 0.000 μB per atom

Cell and atoms, written as extended XYZ:
```
4
Lattice="-1.8205 1.9236 6.4176 1.8205 -1.9236 6.4176 1.8205 1.9236 -6.4176" Properties=species:S:1:pos:R:3 pbc="T T T"
Zr 0.0000 0.0000 0.0000
In 1.8205 0.0000 3.2491
As 0.0000 0.0000 7.2494
As 0.0000 1.9236 4.3511
```